Material: HgH8Ir2
Method: DFT, GGA-PBE
State: relaxed

Symmetry   Cm (8)

abc: 6.179 5.110 5.110
angles: 119.16 107.55 107.55
Fractional coordinates of all 11 atoms:
Ir1 0.545 0.294 0.619
Ir2 0.545 0.619 0.294
H1 0.566 0.681 0.681
H2 0.837 0.868 0.399
H3 0.409 0.895 0.532
H4 0.577 0.990 0.304
H5 0.646 0.350 0.350
H6 0.577 0.304 0.990
H7 0.409 0.532 0.895
H8 0.837 0.399 0.868
Hg1 0.052 0.033 0.033

=====

Material: HgH7Ir2
Method: DFT, GGA-PBE
State: relaxed

Symmetry   Cmmm (65)

abc: 5.153 5.153 3.383
angles: 90.00 90.00 109.36
Fractional coordinates of all 10 atoms:
H1 0.107 0.378 0.500
H2 0.500 0.500 0.500
H3 0.378 0.107 0.500
H4 0.893 0.622 0.500
H5 0.622 0.893 0.500
H6 0.665 0.335 0.000
H7 0.335 0.665 0.000
Ir1 0.723 0.277 0.500
Ir2 0.277 0.723 0.500
Hg1 0.000 0.000 0.000

=====

Material: HgHIr2
Method: DFT, GGA-PBE
State: relaxed

Energy above the lowest structure with this stoichiometry   0.000 eV per atom
Symmetry   I-42d (122)

abc: 6.200 6.200 5.222
angles: 53.58 53.58 90.00
Fractional coordinates of all 8 atoms:
Hg1 0.000 0.000 0.000
Hg2 0.750 0.250 0.500
Ir1 0.875 0.756 0.750
Ir2 0.244 0.625 0.250
Ir3 0.375 0.494 0.750
Ir4 0.506 0.125 0.250
H1 0.500 0.500 0.000
H2 0.250 0.750 0.500

=====

no.,DFT total energy (eV per atom)
1,-3.958
2,-4.010
3,-4.763